Entry 1:
# Sr4Cd5Ga2

Crystalline Sr4Cd5Ga2 at its relaxed geometry (PBE-GGA, Alexandria via LeMat-Bulk).

## Properties
Formation enthalpy at 0 K, eV per atom: -0.29

Unit cell a=8.045 b=3.931 c=10.536 alpha=90.00 beta=97.51 gamma=90.00
Fractional coordinates of all 11 atoms:
Sr: 0.158 0.000 0.368
Sr: 0.263 0.000 0.931
Sr: 0.737 0.000 0.069
Sr: 0.842 0.000 0.632
Cd: 0.210 0.500 0.655
Cd: 0.431 0.500 0.203
Cd: 0.500 0.500 0.500
Cd: 0.569 0.500 0.797
Cd: 0.790 0.500 0.345
Ga: 0.067 0.500 0.121
Ga: 0.933 0.500 0.879



Entry 2:
# AlInTe2

Crystalline AlInTe2 at its relaxed geometry (PBE-GGA, Alexandria via LeMat-Bulk).

## Properties
E_form (uncorrected), eV per atom: -0.15

Unit cell a=6.774 b=6.774 c=5.647 alpha=103.23 beta=103.23 gamma=34.37
Fractional coordinates of all 4 atoms:
Al: 0.000 0.000 0.000
In: 0.857 0.857 0.300
Te: 0.373 0.373 0.717
Te: 0.624 0.624 0.233



| no. | density (g/cm3) | final energy (eV/cell) |
| --- | --- | --- |
| 1 | 5.29 | -20.55 |
| 2 | 4.64 | -13.37 |